# TbCuPd6 (GGA-PBE, relaxed)
data_TbCuPd6
_chemical_formula_sum 'Tb3 Cu3 Pd18'
_space_group_name_H-M_alt 'R -3 m'
_space_group_IT_number 166
_space_group_name_Hall '-R 3 2"'
_cell_length_a 5.4332
_cell_length_b 5.4332
_cell_length_c 19.5439
_cell_angle_alpha 90.00
_cell_angle_beta 90.00
_cell_angle_gamma 120.00
loop_
_atom_site_label
_atom_site_fract_x
_atom_site_fract_y
_atom_site_fract_z
Tb1 0.0000 0.0000 0.0000
Cu1 0.0000 0.0000 0.5000
Pd1 0.0050 0.5025 0.9317
# Offset from the most stable computed form in kJ/mol of formula units: 313
# Crystal system: trigonal
# Magnetization in μB per atom: 0.0000
# Formation energy from the elements in eV/f.u.: -0.17

---

# PaICl3 (GGA-PBE, relaxed)
data_PaICl3
_chemical_formula_sum 'Pa4 I4 Cl12'
_space_group_name_H-M_alt 'C m c m'
_space_group_IT_number 63
_space_group_name_Hall '-C 2c 2'
_cell_length_a 11.2495
_cell_length_b 8.7665
_cell_length_c 8.5738
_cell_angle_alpha 90.00
_cell_angle_beta 90.00
_cell_angle_gamma 90.00
loop_
_atom_site_label
_atom_site_fract_x
_atom_site_fract_y
_atom_site_fract_z
Pa1 0.0000 0.0000 0.0000
I1 0.0000 0.2580 0.2500
Cl1 0.0000 0.1947 0.7500
Cl2 0.2254 0.0000 0.0000
# Energy relative to the elements, uncorrected in eV per formula unit: -8.01
# Offset from the most stable computed form in kJ/mol of formula units: 0
# Crystal system: orthorhombic
# Magnetization in μB per atom: 0.2000

---

# CeTh2ScBi5 (GGA-PBE, relaxed)
data_CeTh2ScBi5
_chemical_formula_sum 'Ce1 Th2 Sc1 Bi5'
_space_group_name_H-M_alt 'P 4/m m m'
_space_group_IT_number 123
_space_group_name_Hall '-P 4 2'
_cell_length_a 5.2034
_cell_length_b 5.2034
_cell_length_c 11.8609
_cell_angle_alpha 90.00
_cell_angle_beta 90.00
_cell_angle_gamma 90.00
loop_
_atom_site_label
_atom_site_fract_x
_atom_site_fract_y
_atom_site_fract_z
Ce1 0.0000 0.0000 0.0000
Th1 0.5000 0.5000 0.2968
Sc1 0.0000 0.0000 0.5000
Bi1 0.0000 0.0000 0.2536
Bi2 0.0000 0.5000 0.5000
Bi3 0.5000 0.5000 0.0000
# Crystal system: tetragonal
# Magnetization in μB per atom: 0.0839
# Formation energy from the elements in eV/f.u.: -1.22

---

# HoErSnPb (GGA-PBE, relaxed)
data_HoErSnPb
_chemical_formula_sum 'Ho4 Er4 Sn4 Pb4'
_space_group_name_H-M_alt 'F -4 3 m'
_space_group_IT_number 216
_space_group_name_Hall 'F -4 2 3'
_cell_length_a 7.6054
_cell_length_b 7.6054
_cell_length_c 7.6054
_cell_angle_alpha 90.00
_cell_angle_beta 90.00
_cell_angle_gamma 90.00
loop_
_atom_site_label
_atom_site_fract_x
_atom_site_fract_y
_atom_site_fract_z
Ho1 0.0000 0.0000 0.0000
Er1 0.0000 0.0000 0.5000
Sn1 0.2500 0.2500 0.7500
Pb1 0.2500 0.2500 0.2500
# Crystal system: cubic
# Magnetization in μB per atom: 0.0000
# Formation energy from the elements in eV/f.u.: -1.76

---

# RbInI2 (GGA-PBE, relaxed)
data_RbInI2
_chemical_formula_sum 'Rb2 In2 I4'
_space_group_name_H-M_alt 'A m m 2'
_space_group_IT_number 38
_cell_length_a 6.6874
_cell_length_b 4.7580
_cell_length_c 12.6189
_cell_angle_alpha 90.00
_cell_angle_beta 90.00
_cell_angle_gamma 90.00
loop_
_space_group_symop_operation_xyz
'x,y,z'
'-x,-y,z'
'-x,y,z'
'x,-y,z'
'x,y+1/2,z+1/2'
'-x,-y+1/2,z+1/2'
'-x,y+1/2,z+1/2'
'x,-y+1/2,z+1/2'
loop_
_atom_site_label
_atom_site_fract_x
_atom_site_fract_y
_atom_site_fract_z
Rb1 0.0000 0.0000 0.0000
In1 0.5000 0.0000 0.2492
I1 0.0000 0.0000 0.2839
I2 0.5000 0.0000 0.5564
# Energy relative to the elements, uncorrected in eV per formula unit: -3.68
# Offset from the most stable computed form in kJ/mol of formula units: 17
# Crystal system: orthorhombic
# Magnetization in μB per atom: 0.0000

---

# CdGaB (GGA-PBE, relaxed)
data_CdGaB
_chemical_formula_sum 'Cd2 Ga2 B2'
_space_group_name_H-M_alt 'P -1'
_space_group_IT_number 2
_cell_length_a 3.6878
_cell_length_b 5.0978
_cell_length_c 5.9205
_cell_angle_alpha 105.46
_cell_angle_beta 90.18
_cell_angle_gamma 110.91
loop_
_space_group_symop_operation_xyz
'x,y,z'
'-x,-y,-z'
loop_
_atom_site_label
_atom_site_fract_x
_atom_site_fract_y
_atom_site_fract_z
Cd1 0.1255 0.2538 0.4102
Ga1 0.3403 0.6791 0.1430
B1 0.0784 0.1575 0.9661
# Crystal system: triclinic
# Magnetization in μB per atom: 0.0000
# Formation energy from the elements in eV/f.u.: 1.01

---

# Ta4InS8 (GGA-PBE, relaxed)
data_Ta4InS8
_chemical_formula_sum 'Ta8 In2 S16'
_space_group_name_H-M_alt 'C 1 2/m 1'
_space_group_IT_number 12
_cell_length_a 11.6903
_cell_length_b 6.7493
_cell_length_c 9.8650
_cell_angle_alpha 90.00
_cell_angle_beta 125.97
_cell_angle_gamma 90.00
loop_
_space_group_symop_operation_xyz
'x,y,z'
'-x,-y,-z'
'-x,y,-z'
'x,-y,z'
'x+1/2,y+1/2,z'
'-x+1/2,-y+1/2,-z'
'-x+1/2,y+1/2,-z'
'x+1/2,-y+1/2,z'
loop_
_atom_site_label
_atom_site_fract_x
_atom_site_fract_y
_atom_site_fract_z
Ta1 0.0000 0.2489 0.0000
Ta2 0.2480 0.0000 0.9966
In1 0.0000 0.5000 0.5000
S1 0.0115 0.5000 0.1924
S2 0.0136 0.0000 0.1943
S3 0.2374 0.2517 0.8062
# Energy relative to the elements, uncorrected in eV per formula unit: -12.45
# Offset from the most stable computed form in kJ/mol of formula units: 0
# Crystal system: monoclinic
# Magnetization in μB per atom: 0.0000

---

# CoOsRh3 (GGA-PBE, relaxed)
data_CoOsRh3
_chemical_formula_sum 'Co2 Os2 Rh6'
_space_group_name_H-M_alt 'P m m a'
_space_group_IT_number 51
_cell_length_a 9.0896
_cell_length_b 2.6525
_cell_length_c 6.2881
_cell_angle_alpha 90.00
_cell_angle_beta 90.00
_cell_angle_gamma 90.00
loop_
_space_group_symop_operation_xyz
'x,y,z'
'-x,-y,-z'
'-x+1/2,-y,z'
'x+1/2,y,-z'
'x+1/2,-y,-z'
'-x+1/2,y,z'
'-x,y,-z'
'x,-y,z'
loop_
_atom_site_label
_atom_site_fract_x
_atom_site_fract_y
_atom_site_fract_z
Co1 0.2500 0.0000 0.2437
Os1 0.2500 0.5000 0.5844
Rh1 0.0000 0.0000 0.5000
Rh2 0.1103 0.0000 0.8935
# Offset from the most stable computed form in kJ/mol of formula units: 0
# Crystal system: orthorhombic
# Magnetization in μB per atom: 0.3314
# Formation energy from the elements in eV/f.u.: 2.48

---

# K2PuCoS4 (GGA-PBE, relaxed)
data_K2PuCoS4
_chemical_formula_sum 'K4 Pu2 Co2 S8'
_space_group_name_H-M_alt 'I -4'
_space_group_IT_number 82
_cell_length_a 7.2102
_cell_length_b 7.2102
_cell_length_c 8.1569
_cell_angle_alpha 90.00
_cell_angle_beta 90.00
_cell_angle_gamma 90.00
loop_
_space_group_symop_operation_xyz
'x,y,z'
'y,-x,-z'
'-x,-y,z'
'-y,x,-z'
'x+1/2,y+1/2,z+1/2'
'y+1/2,-x+1/2,-z+1/2'
'-x+1/2,-y+1/2,z+1/2'
'-y+1/2,x+1/2,-z+1/2'
loop_
_atom_site_label
_atom_site_fract_x
_atom_site_fract_y
_atom_site_fract_z
K1 0.0000 0.0000 0.0000
K2 0.0000 0.5000 0.2500
Pu1 0.0000 0.5000 0.7500
Co1 0.0000 0.0000 0.5000
S1 0.1706 0.7641 0.5833
# Energy relative to the elements, uncorrected in eV per formula unit: -7.14
# Crystal system: tetragonal
# Magnetization in μB per atom: 0.3755

---

# Al3CuNi2 (GGA-PBE, relaxed)
data_Al3CuNi2
_chemical_formula_sum 'Al3 Cu1 Ni2'
_space_group_name_H-M_alt 'P 4/m m m'
_space_group_IT_number 123
_space_group_name_Hall '-P 4 2'
_cell_length_a 2.9013
_cell_length_b 2.9013
_cell_length_c 8.8964
_cell_angle_alpha 90.00
_cell_angle_beta 90.00
_cell_angle_gamma 90.00
loop_
_atom_site_label
_atom_site_fract_x
_atom_site_fract_y
_atom_site_fract_z
Al1 0.0000 0.0000 0.0000
Al2 0.0000 0.0000 0.3208
Cu1 0.5000 0.5000 0.5000
Ni1 0.5000 0.5000 0.1640
# Offset from the most stable computed form in kJ/mol of formula units: 0
# Crystal system: tetragonal
# Magnetization in μB per atom: 0.0000
# Formation energy from the elements in eV/f.u.: -3.13

---

# MgScInPb2 (GGA-PBE, relaxed)
data_MgScInPb2
_chemical_formula_sum 'Mg1 Sc1 In1 Pb2'
_space_group_name_H-M_alt 'P 4/m m m'
_space_group_IT_number 123
_space_group_name_Hall '-P 4 2'
_cell_length_a 5.7595
_cell_length_b 5.7595
_cell_length_c 5.1313
_cell_angle_alpha 90.00
_cell_angle_beta 90.00
_cell_angle_gamma 90.00
loop_
_atom_site_label
_atom_site_fract_x
_atom_site_fract_y
_atom_site_fract_z
Mg1 0.0000 0.0000 0.0000
Sc1 0.5000 0.5000 0.0000
In1 0.0000 0.0000 0.5000
Pb1 0.0000 0.5000 0.5000
# Crystal system: tetragonal
# Magnetization in μB per atom: 0.0000
# Formation energy from the elements in eV/f.u.: 2.96

---

# ScSiPbF2 (GGA-PBE, relaxed)
data_ScSiPbF2
_chemical_formula_sum 'Sc1 Si1 Pb1 F2'
_space_group_name_H-M_alt 'P 4/m m m'
_space_group_IT_number 123
_space_group_name_Hall '-P 4 2'
_cell_length_a 4.4345
_cell_length_b 4.4345
_cell_length_c 6.5054
_cell_angle_alpha 90.00
_cell_angle_beta 90.00
_cell_angle_gamma 90.00
loop_
_atom_site_label
_atom_site_fract_x
_atom_site_fract_y
_atom_site_fract_z
Sc1 0.0000 0.0000 0.0000
Si1 0.5000 0.5000 0.0000
Pb1 0.0000 0.0000 0.5000
F1 0.0000 0.5000 0.5000
# Energy relative to the elements, uncorrected in eV per formula unit: -3.42
# Crystal system: tetragonal
# Magnetization in μB per atom: 0.2036

---

no.,N(E_F) (states/eV per atom),raw total energy (Ha/atom)
1,1.3411,-0.184
2,0.9263,-0.181
3,1.1172,-0.195
4,0.6814,-0.171
5,0.0000,-0.096
6,0.1628,-0.118
7,0.4305,-0.270
8,1.7596,-0.279
9,1.6111,-0.217
10,0.2223,-0.184
11,1.0397,-0.111
12,0.8559,-0.166